{
  "formula": "Tb6PmY2Tm3",
  "functional": "PBE",
  "state": "optimized geometry",
  "lattice_angstrom": [[3.077, -5.324, 0.000], [3.077, 5.324, 0.000], [-2.040, 0.000, 11.585]],
  "species": ["Tb", "Tb", "Tb", "Tb", "Tb", "Tb", "Pm", "Y", "Y", "Tm", "Tm", "Tm"],
  "frac_coords": [[0.085, 0.418, 0.753], [0.248, 0.248, 0.247], [0.418, 0.085, 0.753], [0.582, 0.915, 0.247], [0.752, 0.752, 0.753], [0.915, 0.582, 0.247], [0.000, 0.000, 0.500], [0.333, 0.667, 0.500], [0.667, 0.333, 0.500], [0.167, 0.833, 0.000], [0.500, 0.500, 0.000], [0.833, 0.167, 0.000]],
  "sg": "C2/m (12)",
  "ef_mev_per_atom": 19
}

***

{
  "formula": "TbPm2Y2Tm",
  "functional": "PBE",
  "state": "optimized geometry",
  "lattice_angstrom": [[6.729, 0.000, 0.000], [0.000, 17.656, 0.000], [0.000, 0.000, 3.370]],
  "species": ["Tb", "Tb", "Pm", "Pm", "Pm", "Pm", "Y", "Y", "Y", "Y", "Tm", "Tm"],
  "frac_coords": [[0.000, 0.000, 0.000], [0.500, 0.500, 0.500], [0.243, 0.326, 0.000], [0.257, 0.826, 0.500], [0.743, 0.174, 0.500], [0.757, 0.674, 0.000], [0.237, 0.153, 0.500], [0.263, 0.653, 0.000], [0.737, 0.347, 0.000], [0.763, 0.847, 0.500], [0.000, 0.500, 0.000], [0.500, 0.000, 0.500]],
  "sg": "Pnnm (58)",
  "ef_mev_per_atom": 281
}

***

{
  "formula": "Tb2Pm3Tm6Zr",
  "functional": "PBE",
  "state": "optimized geometry",
  "lattice_angstrom": [[3.048, -5.274, 0.000], [3.048, 5.274, 0.000], [-2.025, 0.000, 11.386]],
  "species": ["Tb", "Tb", "Pm", "Pm", "Pm", "Tm", "Tm", "Tm", "Tm", "Tm", "Tm", "Zr"],
  "frac_coords": [[0.167, 0.833, 0.000], [0.833, 0.167, 0.000], [0.000, 0.000, 0.500], [0.334, 0.666, 0.500], [0.666, 0.334, 0.500], [0.093, 0.420, 0.757], [0.254, 0.254, 0.243], [0.420, 0.093, 0.757], [0.580, 0.907, 0.243], [0.746, 0.746, 0.757], [0.907, 0.580, 0.243], [0.500, 0.500, 0.000]],
  "sg": "C2/m (12)",
  "ef_mev_per_atom": 45
}

***

{
  "formula": "Tb6Pm2Tm3Zr",
  "functional": "PBE",
  "state": "optimized geometry",
  "lattice_angstrom": [[3.053, -5.278, 0.000], [3.053, 5.278, 0.000], [-2.017, 0.000, 11.491]],
  "species": ["Tb", "Tb", "Tb", "Tb", "Tb", "Tb", "Pm", "Pm", "Tm", "Tm", "Tm", "Zr"],
  "frac_coords": [[0.083, 0.410, 0.749], [0.244, 0.244, 0.252], [0.410, 0.083, 0.749], [0.590, 0.917, 0.251], [0.756, 0.756, 0.748], [0.917, 0.590, 0.251], [0.333, 0.667, 0.500], [0.667, 0.333, 0.500], [0.166, 0.834, 0.000], [0.500, 0.500, 0.000], [0.834, 0.166, 0.000], [0.000, 0.000, 0.500]],
  "sg": "C2/m (12)",
  "ef_mev_per_atom": 53
}

***

{
  "formula": "Tb3Pm2Tm6Zr",
  "functional": "PBE",
  "state": "optimized geometry",
  "lattice_angstrom": [[3.038, -5.256, 0.000], [3.038, 5.256, 0.000], [-2.018, 0.000, 11.391]],
  "species": ["Tb", "Tb", "Tb", "Pm", "Pm", "Tm", "Tm", "Tm", "Tm", "Tm", "Tm", "Zr"],
  "frac_coords": [[0.000, 0.000, 0.000], [0.334, 0.666, 0.000], [0.666, 0.334, 0.000], [0.167, 0.833, 0.500], [0.833, 0.167, 0.500], [0.092, 0.418, 0.254], [0.256, 0.256, 0.746], [0.418, 0.092, 0.254], [0.582, 0.908, 0.746], [0.744, 0.744, 0.254], [0.908, 0.582, 0.746], [0.500, 0.500, 0.500]],
  "sg": "C2/m (12)",
  "ef_mev_per_atom": 50
}

***

{
  "formula": "Tb6Pm3Tm2Zr",
  "functional": "PBE",
  "state": "optimized geometry",
  "lattice_angstrom": [[3.064, -5.298, 0.000], [3.064, 5.298, 0.000], [-2.026, 0.000, 11.531]],
  "species": ["Tb", "Tb", "Tb", "Tb", "Tb", "Tb", "Pm", "Pm", "Pm", "Tm", "Tm", "Zr"],
  "frac_coords": [[0.080, 0.408, 0.241], [0.246, 0.246, 0.759], [0.408, 0.080, 0.241], [0.592, 0.920, 0.759], [0.754, 0.754, 0.241], [0.920, 0.592, 0.759], [0.166, 0.834, 0.500], [0.500, 0.500, 0.500], [0.834, 0.166, 0.500], [0.333, 0.667, 0.000], [0.667, 0.333, 0.000], [0.000, 0.000, 0.000]],
  "sg": "C2/m (12)",
  "ef_mev_per_atom": 43
}

***

{
  "formula": "Tb2PmV",
  "functional": "PBE",
  "state": "optimized geometry",
  "lattice_angstrom": [[3.396, 0.000, 0.000], [-1.698, 2.941, 0.000], [0.000, 0.000, 34.650]],
  "species": ["Tb", "Tb", "Tb", "Tb", "Tb", "Tb", "Pm", "Pm", "Pm", "V", "V", "V"],
  "frac_coords": [[0.000, 0.000, 0.081], [0.000, 0.000, 0.919], [0.333, 0.667, 0.586], [0.333, 0.667, 0.747], [0.667, 0.333, 0.253], [0.667, 0.333, 0.414], [0.000, 0.000, 0.500], [0.333, 0.667, 0.167], [0.667, 0.333, 0.833], [0.000, 0.000, 0.000], [0.333, 0.667, 0.667], [0.667, 0.333, 0.333]],
  "sg": "R-3m (166)",
  "ef_mev_per_atom": 616
}

***

{
  "formula": "TbPmV",
  "functional": "PBE",
  "state": "optimized geometry",
  "lattice_angstrom": [[15.838, 0.000, 0.000], [0.000, 5.335, 0.000], [-0.329, 0.000, 3.762]],
  "species": ["Tb", "Tb", "Tb", "Tb", "Pm", "Pm", "Pm", "Pm", "V", "V", "V", "V"],
  "frac_coords": [[0.082, 0.000, 0.267], [0.418, 0.500, 0.733], [0.582, 0.500, 0.267], [0.918, 0.000, 0.733], [0.209, 0.500, 0.221], [0.291, 0.000, 0.779], [0.709, 0.000, 0.221], [0.791, 0.500, 0.779], [0.042, 0.500, 0.711], [0.458, 0.000, 0.289], [0.542, 0.000, 0.711], [0.958, 0.500, 0.289]],
  "sg": "C2/m (12)",
  "ef_mev_per_atom": 271
}

***

Copy entry 2 word for word.
{
  "formula": "TbPm2Y2Tm",
  "functional": "PBE",
  "state": "optimized geometry",
  "lattice_angstrom": [[6.729, 0.000, 0.000], [0.000, 17.656, 0.000], [0.000, 0.000, 3.370]],
  "species": ["Tb", "Tb", "Pm", "Pm", "Pm", "Pm", "Y", "Y", "Y", "Y", "Tm", "Tm"],
  "frac_coords": [[0.000, 0.000, 0.000], [0.500, 0.500, 0.500], [0.243, 0.326, 0.000], [0.257, 0.826, 0.500], [0.743, 0.174, 0.500], [0.757, 0.674, 0.000], [0.237, 0.153, 0.500], [0.263, 0.653, 0.000], [0.737, 0.347, 0.000], [0.763, 0.847, 0.500], [0.000, 0.500, 0.000], [0.500, 0.000, 0.500]],
  "sg": "Pnnm (58)",
  "ef_mev_per_atom": 281
}